Below is a relaxed structure of ScMn2TcB, with properties calculated at the PBE level.

Calculated values
Crystal system: tetragonal
Mass density, Mg/m³: 5.349
D(E_F), states/eV/cell: 4.75
ΔH_f (0 K), eV per atom: 1.900
Spin magnetization, μB/f.u.: 7.76
DFT total energy, eV/atom: -6.44

Lattice parameters (Å, degrees): 4.440 4.440 4.152 90.00 90.00 90.00
Space group P4/mmm (No. 123)
Asymmetric unit:
Sc (0.000, 0.000, 0.000) x1
Mn (0.000, 0.500, 0.000) x2
Tc (0.500, 0.500, 0.500) x1
B (0.000, 0.000, 0.500) x1